Record 1
Density functional theory data (PBE) for Th6Si2CSe3 after structural relaxation.

a b c (Å): 18.3357 4.1181 8.4857
angles (deg): 90.00 104.82 90.00
With the nearest neighbours (Å) after each atom.
Space group C2/m (No. 12)
Inequivalent atoms, fractional coordinates:
Th1 0.0012 0.0000 0.2124  2 C 2.73, 1 Si 2.91
Th2 0.1478 0.5000 0.0811  1 C 2.62, 2 Si 2.91
Th3 0.1698 0.5000 0.5732  3 Si 2.90-2.94, 3 Se 3.01-3.03
Si1 0.1646 0.0000 0.3295  6 Th 2.90-2.94
C1 0.0000 0.5000 0.0000  6 Th 2.62-2.73
Se1 0.0000 0.5000 0.5000  6 Th 3.01-3.20
Se2 0.1723 0.0000 0.8358  6 Th 3.03-3.19

Output
Total magnetization   0.00 μB per cell
Energy relative to the elements, uncorrected   -107 kJ/mol of atoms

Record 2
Density functional theory data (PBE) for HgGeCl6 after structural relaxation.

a b c (Å): 6.6481 11.9620 6.5959
angles (deg): 90.00 113.11 90.00
With the nearest neighbours (Å) after each atom.
Space group C2/m (No. 12)
Inequivalent atoms, fractional coordinates:
Hg1 0.0000 0.0000 0.0000  4 Cl 2.59
Ge1 0.0000 0.5000 0.5000  6 Cl 2.23-2.41
Cl1 0.2039 0.5000 0.2995  1 Ge 2.23
Cl2 0.2307 0.3574 0.7348  1 Ge 2.41, 1 Hg 2.59

Output
Total magnetization   0.00 μB per cell
Energy relative to the elements, uncorrected   -59 kJ/mol of atoms

Record 3
Density functional theory data (PBE) for La3Pm4Sn4 after structural relaxation.

a b c (Å): 4.2885 9.3622 18.0383
angles (deg): 90.00 90.00 90.00
With the nearest neighbours (Å) after each atom.
Space group Immm (No. 71)
Inequivalent atoms, fractional coordinates:
La1 0.0000 0.0000 0.0000  4 Sn 3.36
La2 0.0000 0.5000 0.0960  6 Sn 3.28-3.46, 1 La 3.46
Pm1 0.0000 0.3184 0.3286  4 Sn 3.19-3.23, 1 Pm 3.40
Sn1 0.0000 0.0000 0.2661  6 Pm 3.19-3.23, 2 La 3.28
Sn2 0.0000 0.2235 0.5000  2 Pm 3.22, 6 La 3.36-3.46

Output
Total magnetization   3.47 μB per cell
Formation enthalpy at 0 K   -56.02 kJ/mol of atoms

Record 4
Density functional theory data (PBE) for BaHgAs2Se after structural relaxation.

a b c (Å): 6.6784 6.6784 6.1931
angles (deg): 90.00 90.00 90.00
With the nearest neighbours (Å) after each atom.
Space group P4/mmm (No. 123)
Inequivalent atoms, fractional coordinates:
Ba1 0.0000 0.0000 0.0000  2 Se 3.10, 4 As 3.34
Hg1 0.5000 0.5000 0.5000  8 As 4.55, 4 Se 4.72
As1 0.0000 0.5000 0.0000  2 Ba 3.34
Se1 0.0000 0.0000 0.5000  2 Ba 3.10

Output
Offset from the most stable computed form   767 meV/atom
Total magnetization   4.04 μB per cell
Energy relative to the elements, uncorrected   66 kJ/mol of atoms

Record 5
Density functional theory data (PBE) for Pa4GaCo12B3 after structural relaxation.

a b c (Å): 8.1052 8.1052 8.1052
angles (deg): 90.00 90.00 90.00
With the nearest neighbours (Å) after each atom.
Space group Im-3m (No. 229)
Inequivalent atoms, fractional coordinates:
Pa1 0.2500 0.2500 0.2500  12 Co 2.87
Ga1 0.0000 0.0000 0.0000  6 Co 2.22
Co1 0.0000 0.0000 0.2744  1 B 1.83
Co2 0.0000 0.2500 0.5000  2 B 2.03
B1 0.0000 0.0000 0.5000  6 Co 1.83-2.03

Output
Total magnetization   3.83 μB per cell
Formation enthalpy at 0 K   -24.53 kJ/mol of atoms

no.,total energy (eV per formula unit)
1,-88.39
2,-20.93
3,-56.18
4,-11.61
5,-151.40